A plane-wave DFT calculation with PBE-GGA was carried out for a geometry-optimized Cs2Ru2Se structure.

Cell lengths 3.535, 3.535, 12.075 Å; angles 81.58, 81.58, 90.00 degrees
Element x y z (fractional)
Cs: 0.395 0.395 0.211
Cs: 0.605 0.605 0.789
Ru: 0.750 0.250 0.500
Ru: 0.250 0.750 0.500
Se: 0.000 0.000 0.000

The raw formation energy comes out at 394 meV/atom. The space group is I4/mmm (139). The calculation puts the density of states at the Fermi level at 4.53 states/eV/cell. The calculation puts the mass density at 6.2 Mg/m³. The total moment is 0.000 μB/cell. The value obtained for the uncorrected energy is -4.36 eV/atom.